LiMnP2H2O8 | the Alexandria database | PBE+U | relaxed; magnetization = 16.0 μB/cell; polymorph energy (0 for the lowest one) = 11 meV per atom
1.0
-8.634 -0.543 1.088
4.361 -1.191 8.053
1.809 8.765 -3.225
H Li O Mn P
8 4 32 4 8
Cartesian
1.780 0.795 3.385
-0.229 0.669 7.494
1.729 7.817 -1.260
-4.446 -0.036 2.711
-0.623 6.770 0.275
1.021 -1.178 7.385
-1.483 7.242 4.692
-2.579 5.368 4.167
-1.197 4.108 5.909
-3.290 2.581 1.521
1.024 4.794 1.360
3.278 2.427 5.085
-0.722 1.412 3.912
-1.928 1.042 1.108
-3.309 2.234 3.690
1.398 3.695 -0.253
3.017 6.540 5.292
-4.080 7.216 2.753
-1.867 6.925 3.800
3.540 4.023 3.930
0.031 5.801 6.046
-1.596 -0.722 5.528
-5.576 4.907 0.018
0.601 -0.616 6.643
0.389 3.621 4.583
0.330 2.921 2.146
-1.766 3.605 0.452
-4.852 2.493 0.165
-3.060 5.815 0.535
1.757 1.680 3.887
0.934 7.481 -1.773
-2.099 2.140 6.416
3.570 0.768 6.532
-5.311 7.794 0.214
2.089 6.787 1.174
2.446 3.872 6.436
-4.137 0.156 5.353
-0.569 5.769 0.456
-5.272 0.386 2.326
-2.810 -0.524 2.925
-4.340 4.191 2.637
-2.780 4.514 4.637
-7.536 0.294 1.281
1.202 5.899 3.279
-4.769 5.956 1.445
-0.256 2.266 0.359
-2.401 0.841 4.701
1.785 5.032 4.958
0.375 2.418 3.617
-6.117 3.451 -0.151
-3.968 3.615 4.005
-6.499 -0.566 2.081
-4.690 -0.754 6.470
-1.890 5.054 -0.061
-0.369 8.358 -1.707
1.480 7.230 2.522